Below is crystalline Cr2InGaO6 at its relaxed geometry, with properties calculated at the GGA+U level.

It has space group R3 (No. 146, hexagonal axes), with a = 5.2097 Å, b = 5.2097 Å, c = 13.9201 Å, α = 90.00°, β = 90.00° and γ = 120.00°. The inequivalent atoms are Cr at (0.0000, 0.0000, 0.0000), Cr at (0.0000, 0.0000, 0.4968), In at (0.0000, 0.0000, 0.2105), Ga at (0.0000, 0.0000, 0.7030), O at (0.0054, 0.3139, 0.0921) and O at (0.0294, 0.7258, 0.5973).

The calculation puts the raw total energy at -6.85 eV per atom. As for the density of states at the Fermi level: 0.000 states/eV/f.u.